No. 1
## Pa3IrN6 (PBE-GGA)

Data for a relaxed structure of Pa3IrN6. Values from VASP.

Structure (Quantum ESPRESSO input):
```
&SYSTEM
  ibrav = 0, nat = 20, ntyp = 3
/
ATOMIC_SPECIES
Pa 231.04 Pa.upf
Ir 192.22 Ir.upf
N 14.01 N.upf
CELL_PARAMETERS angstrom
-1.935 -4.475 -2.641
-1.133 -3.294 6.412
-6.304 3.460 -1.243
ATOMIC_POSITIONS crystal
Pa 0.452 0.913 0.688
Pa 0.952 0.688 0.913
Pa 0.418 0.395 0.605
Pa 0.918 0.605 0.395
Pa 0.952 0.087 0.312
Pa 0.452 0.312 0.087
Ir 0.988 0.206 0.794
Ir 0.488 0.794 0.206
N 0.180 0.673 0.644
N 0.680 0.644 0.673
N 0.222 0.434 0.892
N 0.722 0.892 0.434
N 0.218 0.056 0.944
N 0.655 0.211 0.789
N 0.155 0.789 0.211
N 0.718 0.944 0.056
N 0.222 0.108 0.566
N 0.722 0.566 0.108
N 0.180 0.356 0.327
N 0.680 0.327 0.356
```

Results
Energy relative to the elements, uncorrected ... -1145 meV per atom

No. 2
## Y2HfBeTe (PBE-GGA)

Data for a relaxed structure of Y2HfBeTe. Values from VASP.

Structure (Quantum ESPRESSO input):
```
&SYSTEM
  ibrav = 0, nat = 5, ntyp = 4
/
ATOMIC_SPECIES
Y 88.91 Y.upf
Be 9.01 Be.upf
Te 127.60 Te.upf
Hf 178.49 Hf.upf
CELL_PARAMETERS angstrom
5.612 0.000 0.000
0.000 5.612 0.000
0.000 0.000 4.544
ATOMIC_POSITIONS crystal
Y 0.000 0.500 0.000
Y 0.500 0.000 0.000
Be 0.000 0.000 0.500
Te 0.500 0.500 0.500
Hf 0.000 0.000 0.000
```

Results
Energy relative to the elements, uncorrected ... 689 meV per atom
ΔE to the lowest computed polymorph ... 3.812 eV/f.u.

No. 3
## TbDyYAg (PBE-GGA)

Data for a relaxed structure of TbDyYAg. Values from VASP.

Structure (Quantum ESPRESSO input):
```
&SYSTEM
  ibrav = 0, nat = 4, ntyp = 4
/
ATOMIC_SPECIES
Tb 158.93 Tb.upf
Dy 162.50 Dy.upf
Y 88.91 Y.upf
Ag 107.87 Ag.upf
CELL_PARAMETERS angstrom
3.572 0.000 0.000
0.000 3.572 0.000
0.000 0.000 8.882
ATOMIC_POSITIONS crystal
Tb 0.000 0.000 0.069
Dy 0.500 0.500 0.785
Y 0.500 0.500 0.357
Ag 0.000 0.000 0.573
```

No. 4
## Bi3CI (PBE-GGA)

Data for a relaxed structure of Bi3CI. Values from VASP.

Structure (Quantum ESPRESSO input):
```
&SYSTEM
  ibrav = 0, nat = 5, ntyp = 3
/
ATOMIC_SPECIES
I 126.90 I.upf
C 12.01 C.upf
Bi 208.98 Bi.upf
CELL_PARAMETERS angstrom
5.163 0.000 0.000
0.000 5.163 0.000
0.000 0.000 5.163
ATOMIC_POSITIONS crystal
I 0.500 0.500 0.500
C 0.000 0.000 0.000
Bi 0.000 0.500 0.000
Bi 0.000 0.000 0.500
Bi 0.500 0.000 0.000
```

Results
Energy relative to the elements, uncorrected ... 981 meV per atom
ΔE to the lowest computed polymorph ... 0.000 eV/f.u.

No. 5
## Pr2NbGeN5 (PBE-GGA)

Data for a relaxed structure of Pr2NbGeN5. Values from VASP.

Structure (Quantum ESPRESSO input):
```
&SYSTEM
  ibrav = 0, nat = 18, ntyp = 4
/
ATOMIC_SPECIES
Pr 140.91 Pr.upf
Nb 92.91 Nb.upf
Ge 72.64 Ge.upf
N 14.01 N.upf
CELL_PARAMETERS angstrom
3.273 0.000 0.000
-1.637 7.372 0.000
0.000 0.000 10.231
ATOMIC_POSITIONS crystal
Pr 0.875 0.751 0.801
Pr 0.112 0.224 0.690
Pr 0.125 0.249 0.301
Pr 0.888 0.776 0.190
Nb 0.779 0.559 0.515
Nb 0.221 0.441 0.015
Ge 0.552 0.103 0.953
Ge 0.448 0.897 0.453
N 0.348 0.697 0.998
N 0.680 0.359 0.880
N 0.499 0.999 0.789
N 0.288 0.575 0.648
N 0.955 0.909 0.549
N 0.652 0.303 0.498
N 0.320 0.641 0.380
N 0.501 0.001 0.289
N 0.712 0.425 0.148
N 0.045 0.091 0.049
```

Results
Energy relative to the elements, uncorrected ... -877 meV per atom

No. 6
## MgBe2Zn (PBE-GGA)

Data for a relaxed structure of MgBe2Zn. Values from VASP.

Structure (Quantum ESPRESSO input):
```
&SYSTEM
  ibrav = 0, nat = 4, ntyp = 3
/
ATOMIC_SPECIES
Be 9.01 Be.upf
Zn 65.41 Zn.upf
Mg 24.30 Mg.upf
CELL_PARAMETERS angstrom
4.778 0.078 0.002
3.952 2.687 0.002
1.504 0.476 4.127
ATOMIC_POSITIONS crystal
Be 0.979 0.979 0.988
Be 0.284 0.284 0.234
Zn 0.726 0.726 0.812
Mg 0.512 0.512 0.467
```

Results
ΔE to the lowest computed polymorph ... 0.290 eV/f.u.

No. 7
## BaTiZnSn2 (PBE-GGA)

Data for a relaxed structure of BaTiZnSn2. Values from VASP.

Structure (Quantum ESPRESSO input):
```
&SYSTEM
  ibrav = 0, nat = 5, ntyp = 4
/
ATOMIC_SPECIES
Zn 65.41 Zn.upf
Ti 47.87 Ti.upf
Ba 137.33 Ba.upf
Sn 118.71 Sn.upf
CELL_PARAMETERS angstrom
6.170 0.000 0.000
0.000 5.216 0.000
0.000 0.000 6.170
ATOMIC_POSITIONS crystal
Zn 0.500 0.500 0.500
Ti 0.000 0.500 0.000
Ba 0.000 0.000 0.000
Sn 0.000 0.000 0.500
Sn 0.500 0.000 0.000
```

No. 8
## Th8AlCo2 (PBE-GGA)

Data for a relaxed structure of Th8AlCo2. Values from VASP.

Structure (Quantum ESPRESSO input):
```
&SYSTEM
  ibrav = 0, nat = 11, ntyp = 3
/
ATOMIC_SPECIES
Th 232.04 Th.upf
Al 26.98 Al.upf
Co 58.93 Co.upf
CELL_PARAMETERS angstrom
5.291 0.165 -0.815
-1.757 7.155 -3.189
0.201 -0.241 8.022
ATOMIC_POSITIONS crystal
Th 0.568 0.319 0.076
Th 0.568 0.076 0.319
Th 0.193 0.396 0.396
Th 0.000 0.255 0.753
Th 0.000 0.753 0.255
Th 0.807 0.611 0.611
Th 0.433 0.930 0.687
Th 0.433 0.687 0.930
Al 0.000 0.003 0.003
Co 0.499 0.696 0.308
Co 0.499 0.308 0.696
```

No. 9
## Ca3Os2N4 (PBE-GGA)

Data for a relaxed structure of Ca3Os2N4. Values from VASP.

Structure (Quantum ESPRESSO input):
```
&SYSTEM
  ibrav = 0, nat = 18, ntyp = 3
/
ATOMIC_SPECIES
Ca 40.08 Ca.upf
Os 190.23 Os.upf
N 14.01 N.upf
CELL_PARAMETERS angstrom
-2.360 0.579 -6.628
1.600 -6.260 -2.844
-4.715 -1.944 1.422
ATOMIC_POSITIONS crystal
Ca 0.037 0.737 0.544
Ca 0.263 0.963 0.956
Ca 0.963 0.263 0.456
Ca 0.737 0.037 0.044
Ca 0.403 0.597 0.250
Ca 0.597 0.403 0.750
Os 0.837 0.616 0.083
Os 0.384 0.163 0.417
Os 0.163 0.384 0.917
Os 0.616 0.837 0.583
N 0.074 0.712 0.028
N 0.288 0.926 0.472
N 0.926 0.288 0.972
N 0.712 0.074 0.528
N 0.733 0.580 0.423
N 0.420 0.267 0.077
N 0.267 0.420 0.577
N 0.580 0.733 0.923
```

Results
Energy relative to the elements, uncorrected ... -297 meV per atom

No. 10
## CaP2Pd8 (PBE-GGA)

Data for a relaxed structure of CaP2Pd8. Values from VASP.

Structure (Quantum ESPRESSO input):
```
&SYSTEM
  ibrav = 0, nat = 11, ntyp = 3
/
ATOMIC_SPECIES
Ca 40.08 Ca.upf
P 30.97 P.upf
Pd 106.42 Pd.upf
CELL_PARAMETERS angstrom
-5.049 -2.036 -0.815
2.183 -4.472 -2.354
0.278 -3.314 6.554
ATOMIC_POSITIONS crystal
Ca 0.500 0.500 0.500
P 0.500 0.000 0.000
P 0.000 0.500 0.000
Pd 0.752 0.752 0.193
Pd 0.752 0.248 0.807
Pd 0.752 0.752 0.807
Pd 0.752 0.248 0.193
Pd 0.248 0.752 0.193
Pd 0.248 0.752 0.807
Pd 0.248 0.248 0.193
Pd 0.248 0.248 0.807
```

No. 11
## ThTeP (PBE-GGA)

Data for a relaxed structure of ThTeP. Values from VASP.

Structure (Quantum ESPRESSO input):
```
&SYSTEM
  ibrav = 0, nat = 12, ntyp = 3
/
ATOMIC_SPECIES
Te 127.60 Te.upf
P 30.97 P.upf
Th 232.04 Th.upf
CELL_PARAMETERS angstrom
6.381 0.000 0.000
3.191 8.917 0.000
3.191 0.000 8.057
ATOMIC_POSITIONS crystal
Te 0.508 0.673 0.311
Te 0.181 0.327 0.311
Te 0.819 0.673 0.689
Te 0.492 0.327 0.689
P 0.869 0.000 0.261
P 0.916 0.169 0.000
P 0.084 0.831 0.000
P 0.131 0.000 0.739
Th 0.009 0.695 0.287
Th 0.704 0.305 0.287
Th 0.296 0.695 0.713
Th 0.991 0.305 0.713
```

Results
Energy relative to the elements, uncorrected ... -614 meV per atom

No. 12
## TcRhSe3 (PBE-GGA)

Data for a relaxed structure of TcRhSe3. Values from VASP.

Structure (Quantum ESPRESSO input):
```
&SYSTEM
  ibrav = 0, nat = 5, ntyp = 3
/
ATOMIC_SPECIES
Rh 102.91 Rh.upf
Tc 98.00 Tc.upf
Se 78.96 Se.upf
CELL_PARAMETERS angstrom
4.829 0.000 0.000
0.000 4.829 0.000
0.000 0.000 4.829
ATOMIC_POSITIONS crystal
Rh 0.500 0.500 0.500
Tc 0.000 0.000 0.000
Se 0.000 0.500 0.000
Se 0.000 0.000 0.500
Se 0.500 0.000 0.000
```

Results
Energy relative to the elements, uncorrected ... 810 meV per atom
ΔE to the lowest computed polymorph ... 0.000 eV/f.u.

Number 1: VASP energy -197.511 eV per cell. Number 2: VASP energy -26.304 eV per cell. Number 3: VASP energy -19.074 eV per cell. Number 4: VASP energy -17.514 eV per cell. Number 5: VASP energy -147.540 eV per cell. Number 6: VASP energy -9.155 eV per cell. Number 7: VASP energy -11.505 eV per cell. Number 8: VASP energy -77.658 eV per cell. Number 9: VASP energy -128.870 eV per cell. Number 10: VASP energy -57.009 eV per cell. Number 11: VASP energy -71.257 eV per cell. Number 12: VASP energy -24.119 eV per cell.